(1)
First-principles (meta-GGA SCAN) data for Sc7Cd at its PBEsol-relaxed geometry, as listed in Alexandria via LeMat-Bulk.

abc: 6.375 6.375 6.375
angles: 60.00 60.00 60.00
Positions (direct):
Sc 0.500 0.500 0.000
Sc 0.500 0.000 0.000
Sc 0.500 0.000 0.500
Sc 0.000 0.000 0.500
Sc 0.500 0.500 0.500
Cd 0.000 0.000 0.000
Sc 0.000 0.500 0.000
Sc 0.000 0.500 0.500

Output
**ρ**: 3.87 g/cm³
**Electronic total energy**: -16.289 eV per atom
**M_tot**: 0.00 μB per atom


(2)
First-principles (meta-GGA SCAN) data for ReAgPdN2 at its PBEsol-relaxed geometry, as listed in Alexandria via LeMat-Bulk.

abc: 3.798 3.798 5.280
angles: 90.00 90.00 90.00
Positions (direct):
N 0.000 0.500 0.000
N 0.500 0.000 0.000
Ag 0.000 0.000 0.500
Re 0.000 0.000 0.000
Pd 0.500 0.500 0.500

Output
**ρ**: 9.34 g/cm³
**Formation energy without anion corrections**: 0.825 eV/atom
**M_tot**: 0.00 μB per atom


(3)
First-principles (meta-GGA SCAN) data for La7Ru3 at its PBEsol-relaxed geometry, as listed in Alexandria via LeMat-Bulk.

abc: 6.627 7.244 23.188
angles: 90.00 90.00 90.00
Positions (direct):
La 0.367 0.166 0.750
La 0.326 0.197 0.326
La 0.641 0.563 0.115
La 0.326 0.197 0.174
La 0.633 0.834 0.250
La 0.674 0.803 0.674
Ru 0.966 0.001 0.750
La 0.867 0.334 0.250
La 0.176 0.677 0.477
La 0.174 0.697 0.326
Ru 0.468 0.892 0.096
Ru 0.032 0.392 0.404
La 0.676 0.823 0.523
La 0.141 0.937 0.615
La 0.824 0.323 0.523
La 0.641 0.563 0.385
Ru 0.532 0.108 0.596
La 0.826 0.303 0.674
La 0.359 0.437 0.615
Ru 0.468 0.892 0.404
Ru 0.032 0.392 0.096
La 0.324 0.177 0.023
Ru 0.466 0.499 0.250
La 0.324 0.177 0.477
La 0.359 0.437 0.885
La 0.824 0.323 0.977
Ru 0.534 0.501 0.750
La 0.174 0.697 0.174
La 0.176 0.677 0.023
La 0.676 0.823 0.977
Ru 0.034 0.999 0.250
La 0.859 0.063 0.385
La 0.859 0.063 0.115
La 0.133 0.666 0.750
Ru 0.968 0.608 0.904
La 0.674 0.803 0.826
Ru 0.968 0.608 0.596
Ru 0.532 0.108 0.904
La 0.826 0.303 0.826
La 0.141 0.937 0.885

Output
**ρ**: 7.61 g/cm³
**Electronic total energy**: -40.957 eV per atom
**M_tot**: 0.00 μB per atom


(4)
First-principles (meta-GGA SCAN) data for Mo2H2Os at its PBEsol-relaxed geometry, as listed in Alexandria via LeMat-Bulk.

abc: 2.865 2.865 6.408
angles: 102.92 102.92 90.00
Positions (direct):
Mo 0.647 0.647 0.294
H 0.750 0.250 0.500
Os 0.000 0.000 0.000
H 0.250 0.750 0.500
Mo 0.353 0.353 0.706

Output
**ρ**: 12.79 g/cm³
**Electronic total energy**: -29.675 eV per atom
**M_tot**: 0.00 μB per atom


(5)
First-principles (meta-GGA SCAN) data for BaNdMnCoO5 at its PBEsol-relaxed geometry, as listed in Alexandria via LeMat-Bulk.

abc: 3.850 3.850 7.647
angles: 90.00 90.00 90.00
Each line ends with the local moment (μB).
Positions (direct):
O 0.000 0.500 0.704  0.05
Ba 0.000 0.000 0.986  0.00
Nd 0.000 0.000 0.505  -0.02
Mn 0.500 0.500 0.264  3.37
Co 0.500 0.500 0.705  1.55
O 0.500 0.500 0.026  0.08
O 0.500 0.000 0.303  0.03
O 0.000 0.500 0.303  0.03
O 0.500 0.000 0.704  0.05

Output
**ρ**: 6.96 g/cm³
**Formation energy without anion corrections**: -2.514 eV/atom
**M_tot**: 0.59 μB per atom


(6)
First-principles (meta-GGA SCAN) data for Zn2FeSb at its PBEsol-relaxed geometry, as listed in Alexandria via LeMat-Bulk.

abc: 3.145 4.472 4.998
angles: 101.11 90.00 110.59
Each line ends with the local moment (μB).
Positions (direct):
Zn 0.242 0.485 0.754  -0.05
Sb 0.766 0.533 0.293  -0.04
Zn 0.987 0.975 0.933  -0.03
Fe 0.504 0.008 0.520  2.45

Output
**ρ**: 7.95 g/cm³
**Formation energy without anion corrections**: 0.256 eV/atom
**M_tot**: 0.56 μB per atom


(7)
First-principles (meta-GGA SCAN) data for Sr2LiTl at its PBEsol-relaxed geometry, as listed in Alexandria via LeMat-Bulk.

abc: 4.055 4.055 10.901
angles: 79.28 79.28 60.00
Positions (direct):
Sr 0.243 0.243 0.271
Sr 0.757 0.757 0.729
Li 0.000 0.000 0.000
Tl 0.500 0.500 0.500

Output
**ρ**: 4.23 g/cm³
**Electronic total energy**: -29.964 eV per atom
**M_tot**: 0.05 μB per atom


(8)
First-principles (meta-GGA SCAN) data for LiAuBr2 at its PBEsol-relaxed geometry, as listed in Alexandria via LeMat-Bulk.

abc: 3.455 4.901 4.901
angles: 90.00 90.00 90.00
Positions (direct):
Br 0.000 0.500 0.000
Br 0.000 0.000 0.500
Au 0.500 0.000 0.000
Li 0.500 0.500 0.500

Output
**ρ**: 7.28 g/cm³
**Formation energy without anion corrections**: -0.451 eV/atom
**M_tot**: 0.00 μB per atom


(9)
First-principles (meta-GGA SCAN) data for Y2Ga9Ir3 at its PBEsol-relaxed geometry, as listed in Alexandria via LeMat-Bulk.

abc: 7.473 7.473 9.385
angles: 90.00 90.00 119.78
Positions (direct):
Ga 0.335 0.000 0.920
Ga 0.454 0.661 0.250
Ga 0.130 0.130 0.750
Y 0.670 0.997 0.750
Y 0.330 0.003 0.250
Ga 0.000 0.335 0.920
Ga 0.661 0.454 0.250
Ir 0.000 0.000 0.500
Y 0.997 0.670 0.750
Y 0.003 0.330 0.250
Ir 0.329 0.671 0.500
Ir 0.671 0.329 0.000
Ga 0.335 0.000 0.580
Ga 0.665 0.000 0.420
Ir 0.671 0.329 0.500
Ir 0.000 0.000 0.000
Ga 0.870 0.870 0.250
Ga 0.546 0.339 0.750
Ga 0.000 0.665 0.420
Ga 0.667 0.667 0.566
Ga 0.665 0.000 0.080
Ga 0.000 0.335 0.580
Ga 0.339 0.546 0.750
Ga 0.667 0.667 0.934
Ga 0.333 0.333 0.434
Ga 0.000 0.665 0.080
Ir 0.329 0.671 0.000
Ga 0.333 0.333 0.066

Output
**ρ**: 10.09 g/cm³
**Electronic total energy**: -30.543 eV per atom
**M_tot**: 0.00 μB per atom


(10)
First-principles (meta-GGA SCAN) data for K2CrFe at its PBEsol-relaxed geometry, as listed in Alexandria via LeMat-Bulk.

abc: 3.038 3.501 10.122
angles: 90.00 88.99 90.00
Each line ends with the local moment (μB).
Positions (direct):
K 0.977 0.000 0.916  0.02
Fe 0.502 0.500 0.649  -2.48
Cr 0.005 0.000 0.603  3.31
K 0.516 0.500 0.331  0.02

Output
**ρ**: 2.87 g/cm³
**Electronic total energy**: -12.595 eV per atom
**M_tot**: 0.33 μB per atom


(11)
First-principles (meta-GGA SCAN) data for CdAs2PBr at its PBEsol-relaxed geometry, as listed in Alexandria via LeMat-Bulk.

abc: 4.815 4.815 4.978
angles: 90.00 90.00 90.00
Each line ends with the local moment (μB).
Positions (direct):
As 0.000 0.500 0.000  0.21
As 0.500 0.000 0.000  0.21
Br 0.000 0.000 0.500  0.10
P 0.000 0.000 0.000  0.00
Cd 0.500 0.500 0.500  -0.02

Output
**ρ**: 5.37 g/cm³
**Formation energy without anion corrections**: 0.581 eV/atom
**M_tot**: 0.19 μB per atom


(12)
First-principles (meta-GGA SCAN) data for ZnFeCo at its PBEsol-relaxed geometry, as listed in Alexandria via LeMat-Bulk.

abc: 2.479 4.004 4.004
angles: 120.00 90.00 90.00
Each line ends with the local moment (μB).
Positions (direct):
Zn 0.327 0.333 0.667  -0.07
Fe 0.709 0.667 0.333  2.83
Co 0.964 0.000 0.000  1.82

Output
**ρ**: 8.69 g/cm³
**Electronic total energy**: -16.391 eV per atom
**M_tot**: 1.50 μB per atom


Calculated N(E_F) in order - 1.56 0.70 0.76 0.51 0.30 0.49 0.60 0.25 0.22 0.70 0.58 0.45 states/eV per atom